No. 1
This record from the Alexandria database describes a relaxed structure of SrAc2Sm. The functional is PBE.

Lattice parameters (Å, degrees): 6.2616 6.2616 6.2616 60.00 60.00 60.00
Last column: nearest neighbours and their distance in Å.
Positions (direct):
1 Sm 0.0000 0.0000 0.0000  8 Ac 3.83
2 Ac 0.7500 0.7500 0.7500  4 Sr 3.83, 4 Sm 3.83
3 Ac 0.2500 0.2500 0.2500  4 Sm 3.83, 4 Sr 3.83
4 Sr 0.5000 0.5000 0.5000  8 Ac 3.83

## Properties
The value obtained for the total energy is -3.5071 eV per atom.

***

No. 2
This record from the Alexandria database describes a relaxed structure of TePS2F. The functional is PBE.

Lattice parameters (Å, degrees): 5.1597 5.1597 3.6298 90.00 90.00 90.00
Last column: nearest neighbours and their distance in Å.
Positions (direct):
1 F 0.0000 0.0000 0.0000  2 P 1.81
2 S 0.5000 0.0000 0.0000  2 F 2.58
3 S 0.0000 0.5000 0.0000  2 F 2.58
4 P 0.0000 0.0000 0.5000  2 F 1.81
5 Te 0.5000 0.5000 0.5000  8 S 3.15

## Properties
The calculation puts the formation energy from raw total energies at 0.6396 eV per atom.

***

No. 3
This record from the Alexandria database describes a relaxed structure of PrMnGaPt3. The functional is PBE.

Lattice parameters (Å, degrees): 5.6707 6.7828 6.9918 119.02 90.00 90.00
Last column: nearest neighbours and their distance in Å.
Positions (direct):
1 Mn 0.7500 0.0505 0.1010  5 Pt 2.52-2.61
2 Mn 0.2500 0.9495 0.8990  5 Pt 2.52-2.61
3 Ga 0.2500 0.3643 0.7286  5 Pt 2.47-2.59
4 Ga 0.7500 0.6357 0.2714  5 Pt 2.47-2.59
5 Pt 0.5000 0.7061 0.0000  2 Mn 2.52, 2 Ga 2.59, 1 Pt 2.80
6 Pt 0.0000 0.2939 0.0000  2 Mn 2.52, 2 Ga 2.59, 1 Pt 2.80
7 Pt 0.7500 0.8375 0.6749  1 Ga 2.47, 1 Mn 2.61
8 Pt 0.0000 0.7061 0.0000  2 Mn 2.52, 2 Ga 2.59, 1 Pt 2.80
9 Pt 0.2500 0.1625 0.3251  1 Ga 2.47, 1 Mn 2.61
10 Pt 0.5000 0.2939 0.0000  2 Mn 2.52, 2 Ga 2.59, 1 Pt 2.80
11 Pr 0.2500 0.7056 0.4112  2 Ga 2.96, 1 Mn 2.98, 6 Pt 3.21-3.26
12 Pr 0.7500 0.2944 0.5888  2 Ga 2.96, 1 Mn 2.98, 6 Pt 3.21-3.26

## Properties
The value obtained for the total energy is -6.3773 eV per atom.

***

No. 4
This record from the Alexandria database describes a relaxed structure of OsBr2Cl. The functional is PBE.

Lattice parameters (Å, degrees): 3.8078 4.6594 7.0332 73.13 73.59 90.02
Last column: nearest neighbours and their distance in Å.
Positions (direct):
1 Br 0.6330 0.1080 0.7556  2 Os 2.54-2.58
2 Br 0.3687 0.8789 0.2736  2 Os 2.50-2.51
3 Cl 0.9967 0.5222 0.9499  2 Os 2.38
4 Os 0.0015 0.9910 0.0208  2 Cl 2.38, 4 Br 2.50-2.58

## Properties
The calculation puts the formation energy from raw total energies at 0.0051 eV per atom.

***

No. 5
This record from the Alexandria database describes a relaxed structure of PrEr2InC. The functional is PBE.

Lattice parameters (Å, degrees): 5.1683 4.8933 4.8933 90.00 90.00 90.00
Last column: nearest neighbours and their distance in Å.
Positions (direct):
1 Pr 0.5000 0.0000 0.0000  2 C 2.58
2 C 0.0000 0.0000 0.0000  4 Er 2.45, 2 Pr 2.58
3 Er 0.0000 0.5000 0.0000  2 C 2.45
4 Er 0.0000 0.0000 0.5000  2 C 2.45
5 In 0.5000 0.5000 0.5000  4 Pr 3.46, 8 Er 3.56

## Properties
The value obtained for the total energy is -5.6013 eV per atom.

***

No. 6
This record from the Alexandria database describes a relaxed structure of ErMgInBi. The functional is PBE.

Lattice parameters (Å, degrees): 5.3277 5.3277 5.3277 60.00 60.00 60.00
Last column: nearest neighbours and their distance in Å.
Positions (direct):
1 Er 0.5000 0.5000 0.5000  4 In 3.26, 4 Bi 3.26
2 Bi 0.2500 0.2500 0.2500  4 Mg 3.26, 4 Er 3.26
3 Mg 0.0000 0.0000 0.0000  4 In 3.26, 4 Bi 3.26
4 In 0.7500 0.7500 0.7500  4 Er 3.26, 4 Mg 3.26

## Properties
The value obtained for the total energy is -3.4219 eV per atom.

***

no.,ρ (g/cm³)
1,6.62
2,4.15
3,12.01
4,5.61
5,8.08
6,8.00